# Na2CaBe | Alexandria via LeMat-Bulk | SCAN | single point on PBEsol structure
data_Na2CaBe
_chemical_formula_sum 'Na8 Ca4 Be4'
_cell_length_a 4.339
_cell_length_b 4.339
_cell_length_c 23.452
_cell_angle_alpha 90.00
_cell_angle_beta 90.00
_cell_angle_gamma 90.00
_space_group_name_H-M_alt 'I -4 2 d'
_space_group_IT_number 122
_space_group_name_Hall 'I -4 2bw'
loop_
_atom_site_label
_atom_site_fract_x
_atom_site_fract_y
_atom_site_fract_z
Na1 0.218 0.250 0.125
Ca1 0.000 0.000 0.500
Be1 0.000 0.000 0.000
# total magnetic moment: 0.000 μB per atom
# mass density: 1.43 Mg/m³
# electronic total energy: -5.11 eV per atom
# ΔH_f (0 K): 0.499 eV/atom